Density functional theory data (PBE) for TiMnAlMo after structural relaxation.

DFT formation energy = -0.12 eV per atom
Final energy = -8.0289 eV per atom

abc: 6.191 6.191 6.191
angles: 90.00 90.00 90.00
Fractional positions:
Ti  0.000  0.000  0.000
Ti  0.000  0.500  0.500
Ti  0.500  0.000  0.500
Ti  0.500  0.500  0.000
Mn  0.250  0.250  0.250
Mn  0.250  0.750  0.750
Mn  0.750  0.250  0.750
Mn  0.750  0.750  0.250
Al  0.000  0.000  0.500
Al  0.000  0.500  0.000
Al  0.500  0.000  0.000
Al  0.500  0.500  0.500
Mo  0.250  0.250  0.750
Mo  0.250  0.750  0.250
Mo  0.750  0.250  0.250
Mo  0.750  0.750  0.750

Density functional theory data (PBE) for Mn2AlN after structural relaxation.

Formation energy without anion corrections = -0.067 eV/atom
Final energy = -7.6686 eV per atom

abc: 6.226 6.226 4.601
angles: 90.00 90.00 90.00
Fractional positions:
Mn  0.136  0.250  0.125
Mn  0.250  0.636  0.375
Mn  0.250  0.864  0.875
Mn  0.364  0.250  0.625
Mn  0.636  0.750  0.625
Mn  0.750  0.136  0.875
Mn  0.750  0.364  0.375
Mn  0.864  0.750  0.125
Al  0.000  0.000  0.500
Al  0.000  0.500  0.750
Al  0.500  0.000  0.250
Al  0.500  0.500  0.000
N  0.000  0.000  0.000
N  0.000  0.500  0.250
N  0.500  0.000  0.750
N  0.500  0.500  0.500

Number 1: M_tot 8.91 Bohr magnetons per cell. Number 2: M_tot 7.99 Bohr magnetons per cell.